Material: KMgH5S2O10
Method: DFT, PBE-GGA
State: relaxed

extended XYZ file:
```
19
Lattice="5.381 0.000 0.000 2.608 7.023 0.000 2.051 2.702 6.724" Properties=species:S:1:pos:R:3 pbc="T T T"
K 0.000 0.000 0.000
Mg 1.902 3.380 2.930
H 3.527 5.570 3.003
H 4.063 4.588 1.915
H 4.933 4.957 4.632
H 4.975 4.023 6.438
H 3.940 2.383 1.570
S 5.596 7.386 3.760
S 7.011 7.039 5.593
O 3.210 4.916 2.317
O 2.599 1.800 4.079
O 4.430 6.473 4.123
O 2.982 2.523 1.238
O 2.668 1.194 0.700
O 7.091 8.417 6.220
O 5.376 4.096 4.893
O 5.628 3.783 1.748
O 5.447 2.469 2.086
O 6.786 4.449 4.578
```

Calculated values
Symmetry: P1, No. 1
Total energy (eV per cell): -94.08